Na3H7Pd2 | GGA-PBE | optimized geometry

Computed properties:
- Final energy: -3.375 eV per atom

Cell lengths 3.6002, 3.6599, 9.7479 Å; angles 100.82, 90.00, 90.00 degrees
Closest atoms and distances in Å follow each position.
Positions (direct):
H (0.0000, 0.0000, 0.0000)  2 Pd 1.79
H (0.0000, 0.8147, 0.6295)  1 Pd 1.76
H (0.0000, 0.5913, 0.1826)  2 Pd 1.83
H (0.5000, 0.0912, 0.1825)  2 Pd 1.80
H (0.5000, 0.9088, 0.8175)  2 Pd 1.80
H (0.0000, 0.4087, 0.8174)  2 Pd 1.83
H (0.0000, 0.1853, 0.3705)  1 Pd 1.76
Pd (0.0000, 0.9064, 0.8128)  6 H 1.76-1.83
Pd (0.0000, 0.0936, 0.1872)  6 H 1.76-1.83
Na (0.5000, 0.6764, 0.3528)  8 H 2.43-2.57
Na (0.5000, 0.5000, 0.0000)  12 H 2.51-2.57
Na (0.5000, 0.3236, 0.6472)  8 H 2.43-2.57